(1)
Compound: BeCoIr2
Source: Alexandria via LeMat-Bulk
Functional: GGA-PBE
Structure: relaxed

a = 4.109 Å, b = 4.109 Å, c = 2.840 Å
α = 90.00°, β = 90.00°, γ = 90.00°
Space group P4/mmm (No. 123)
Inequivalent atoms, fractional coordinates:
Be 0.000 0.000 0.000
Co 0.500 0.500 0.000
Ir 0.000 0.500 0.500

The volume comes out at 48.0 Å³ per cell. For the total magnetic moment, the calculation gives 1.1 μB/f.u. The uncorrected energy comes out at -29.2 eV/cell. For the density of states at the Fermi level, the calculation gives 4.758 states/eV per cell. For the formation energy, the calculation gives -0.151 eV per atom.



(2)
Compound: BeCo2Ir
Source: Alexandria via LeMat-Bulk
Functional: GGA-PBE
Structure: relaxed

a = 2.584 Å, b = 3.742 Å, c = 4.745 Å
α = 90.00°, β = 102.83°, γ = 90.00°
Space group P2/m (No. 10)
Inequivalent atoms, fractional coordinates:
Be 0.000 0.000 0.000
Co 0.405 0.500 0.229
Ir 0.000 0.000 0.500

The volume comes out at 44.7 Å³ per cell. For the total magnetic moment, the calculation gives 2.7 μB/f.u. The uncorrected energy comes out at -27.0 eV/cell. For the density of states at the Fermi level, the calculation gives 4.462 states/eV per cell. For the formation energy, the calculation gives -0.060 eV per atom.



Question: Which of these has the highest total magnetic moment?
Answer: BeCo2Ir



Question: Which value of total magnetic moment does entry 2 give?
Answer: 2.7 μB/f.u.



Repeat the first record exactly.
Compound: BeCoIr2
Source: Alexandria via LeMat-Bulk
Functional: GGA-PBE
Structure: relaxed

a = 4.109 Å, b = 4.109 Å, c = 2.840 Å
α = 90.00°, β = 90.00°, γ = 90.00°
Space group P4/mmm (No. 123)
Inequivalent atoms, fractional coordinates:
Be 0.000 0.000 0.000
Co 0.500 0.500 0.000
Ir 0.000 0.500 0.500

The volume comes out at 48.0 Å³ per cell. For the total magnetic moment, the calculation gives 1.1 μB/f.u. The uncorrected energy comes out at -29.2 eV/cell. For the density of states at the Fermi level, the calculation gives 4.758 states/eV per cell. For the formation energy, the calculation gives -0.151 eV per atom.